(1)
Computed, not measured: an optimized crystal structure of Pm2Fe2Ge2N at the PBE level of DFT. Values from VASP.

```
&SYSTEM
  ibrav = 0, nat = 7, ntyp = 4
/
ATOMIC_SPECIES
Pm 145.00 Pm.upf
Fe 55.84 Fe.upf
Ge 72.64 Ge.upf
N 14.01 N.upf
ATOMIC_POSITIONS crystal
Pm 0.0570 0.0570 0.2895
Pm 0.9430 0.9430 0.7105
Fe 0.3113 0.3113 0.9230
Fe 0.6887 0.6887 0.0770
Ge 0.3314 0.3314 0.2853
Ge 0.6686 0.6686 0.7147
N 0.5000 0.5000 0.0000
CELL_PARAMETERS angstrom
5.4266 -1.9772 0.0000
5.4266 1.9772 0.0000
-4.2483 0.0000 5.5345
```

- formation energy without anion corrections (eV per formula unit) = -5.3
- D(E_F) (states/eV/f.u.) = 4.1
- total energy (eV/atom) = -7.034

=====

(2)
Computed, not measured: an optimized crystal structure of Pr3Al8Pd3 at the PBE level of DFT. Values from VASP.

```
&SYSTEM
  ibrav = 0, nat = 14, ntyp = 3
/
ATOMIC_SPECIES
Pr 140.91 Pr.upf
Al 26.98 Al.upf
Pd 106.42 Pd.upf
ATOMIC_POSITIONS crystal
Pr 0.0000 0.0000 0.0000
Pr 0.3121 0.3121 0.0000
Pr 0.6879 0.6879 0.0000
Al 0.0279 0.6650 0.3629
Al 0.1629 0.8798 0.2831
Al 0.3021 0.6650 0.6371
Al 0.4033 0.1202 0.2831
Al 0.5967 0.8798 0.7169
Al 0.6979 0.3350 0.3629
Al 0.8371 0.1202 0.7169
Al 0.9721 0.3350 0.6371
Pd 0.2843 0.5000 0.7843
Pd 0.5000 0.0000 0.5000
Pd 0.7157 0.5000 0.2157
CELL_PARAMETERS angstrom
-2.2095 5.0340 6.2946
2.2095 -5.0340 6.2946
2.2095 5.0340 -6.2946
```

- D(E_F) (states/eV/f.u.) = 6.2
- DFT formation energy (eV/atom) = -0.67
- total energy (eV/atom) = -4.941

=====

(3)
Computed, not measured: an optimized crystal structure of AlCr2Ag at the PBE level of DFT. Values from VASP.

```
&SYSTEM
  ibrav = 0, nat = 4, ntyp = 3
/
ATOMIC_SPECIES
Al 26.98 Al.upf
Cr 52.00 Cr.upf
Ag 107.87 Ag.upf
ATOMIC_POSITIONS crystal
Al 0.0000 0.0000 0.0000
Cr 0.0000 0.5000 0.5000
Cr 0.5000 0.0000 0.5000
Ag 0.5000 0.5000 0.0000
CELL_PARAMETERS angstrom
3.5869 0.0000 0.0000
0.0000 3.5869 0.0000
0.0000 0.0000 4.2797
```

- D(E_F) (states/eV/f.u.) = 3.0
- DFT formation energy (eV/atom) = 0.31
- total energy (eV/atom) = -6.152

=====

(4)
Computed, not measured: an optimized crystal structure of SrFeSe2 at the PBE level of DFT. Values from VASP.

```
&SYSTEM
  ibrav = 0, nat = 4, ntyp = 3
/
ATOMIC_SPECIES
Sr 87.62 Sr.upf
Fe 55.84 Fe.upf
Se 78.96 Se.upf
ATOMIC_POSITIONS crystal
Sr 0.0000 0.0000 0.0000
Fe 0.5000 0.5000 0.0000
Se 0.0000 0.5000 0.5000
Se 0.5000 0.0000 0.5000
CELL_PARAMETERS angstrom
3.5422 -3.5473 0.0000
3.5422 3.5473 0.0000
0.0000 0.0000 3.6006
```

- formation energy without anion corrections (eV per formula unit) = -1.9
- energy above the lowest structure with this stoichiometry (meV/atom) = 376.3
- D(E_F) (states/eV/f.u.) = 5.4
- total energy (eV/atom) = -4.763

=====

(5)
Computed, not measured: an optimized crystal structure of YTa4Te8 at the PBE level of DFT. Values from VASP.

```
&SYSTEM
  ibrav = 0, nat = 13, ntyp = 3
/
ATOMIC_SPECIES
Y 88.91 Y.upf
Ta 180.95 Ta.upf
Te 127.60 Te.upf
ATOMIC_POSITIONS crystal
Y 0.0000 0.0000 0.0000
Ta 0.0000 0.0000 0.5000
Ta 0.0000 0.5000 0.0000
Ta 0.5000 0.0000 0.0000
Ta 0.5000 0.5000 0.5000
Te 0.2460 0.2460 0.2460
Te 0.2559 0.7410 0.7410
Te 0.2590 0.2590 0.7441
Te 0.2590 0.7441 0.2590
Te 0.7410 0.2559 0.7410
Te 0.7410 0.7410 0.2559
Te 0.7441 0.2590 0.2590
Te 0.7540 0.7540 0.7540
CELL_PARAMETERS angstrom
3.7999 2.1939 7.4755
-3.7999 2.1939 7.4755
0.0000 -4.3878 7.4755
```

- formation energy without anion corrections (eV per formula unit) = -4.5
- D(E_F) (states/eV/f.u.) = 5.8
- total energy (eV/atom) = -6.427

=====

(6)
Computed, not measured: an optimized crystal structure of GdZnCdAu at the PBE level of DFT. Values from VASP.

```
&SYSTEM
  ibrav = 0, nat = 4, ntyp = 4
/
ATOMIC_SPECIES
Gd 157.25 Gd.upf
Zn 65.41 Zn.upf
Cd 112.41 Cd.upf
Au 196.97 Au.upf
ATOMIC_POSITIONS crystal
Gd 0.0000 0.0000 0.0000
Zn 0.2500 0.2500 0.2500
Cd 0.5000 0.5000 0.5000
Au 0.7500 0.7500 0.7500
CELL_PARAMETERS angstrom
0.0000 3.4738 3.4738
3.4738 0.0000 3.4738
3.4738 3.4738 0.0000
```

- D(E_F) (states/eV/f.u.) = 1.5
- DFT formation energy (eV/atom) = -0.49
- total energy (eV/atom) = -5.377

=====

(7)
Computed, not measured: an optimized crystal structure of MnAl2Ag at the PBE level of DFT. Values from VASP.

```
&SYSTEM
  ibrav = 0, nat = 4, ntyp = 3
/
ATOMIC_SPECIES
Mn 54.94 Mn.upf
Al 26.98 Al.upf
Ag 107.87 Ag.upf
ATOMIC_POSITIONS crystal
Mn 0.0000 0.0000 0.0000
Al 0.2546 0.2546 0.7705
Al 0.7454 0.7454 0.2295
Ag 0.5000 0.5000 0.5000
CELL_PARAMETERS angstrom
4.3693 -1.4155 0.0000
4.3693 1.4155 0.0000
-1.0406 0.0000 4.9757
```

- energy above the lowest structure with this stoichiometry (meV/atom) = 162.4
- D(E_F) (states/eV/f.u.) = 2.5
- DFT formation energy (eV/atom) = 0.00
- total energy (eV/atom) = -4.874

=====

(8)
Computed, not measured: an optimized crystal structure of Pm2BeAl at the PBE level of DFT. Values from VASP.

```
&SYSTEM
  ibrav = 0, nat = 4, ntyp = 3
/
ATOMIC_SPECIES
Pm 145.00 Pm.upf
Be 9.01 Be.upf
Al 26.98 Al.upf
ATOMIC_POSITIONS crystal
Pm 0.2500 0.2500 0.2500
Pm 0.7500 0.7500 0.7500
Be 0.0000 0.0000 0.0000
Al 0.5000 0.5000 0.5000
CELL_PARAMETERS angstrom
0.0000 3.6192 3.6192
3.6192 0.0000 3.6192
3.6192 3.6192 0.0000
```

- energy above the lowest structure with this stoichiometry (meV/atom) = 29.5
- D(E_F) (states/eV/f.u.) = 4.4
- DFT formation energy (eV/atom) = -0.06
- total energy (eV/atom) = -4.307

=====

What did the sixth record say?
Computed, not measured: an optimized crystal structure of GdZnCdAu at the PBE level of DFT. Values from VASP.

```
&SYSTEM
  ibrav = 0, nat = 4, ntyp = 4
/
ATOMIC_SPECIES
Gd 157.25 Gd.upf
Zn 65.41 Zn.upf
Cd 112.41 Cd.upf
Au 196.97 Au.upf
ATOMIC_POSITIONS crystal
Gd 0.0000 0.0000 0.0000
Zn 0.2500 0.2500 0.2500
Cd 0.5000 0.5000 0.5000
Au 0.7500 0.7500 0.7500
CELL_PARAMETERS angstrom
0.0000 3.4738 3.4738
3.4738 0.0000 3.4738
3.4738 3.4738 0.0000
```

- D(E_F) (states/eV/f.u.) = 1.5
- DFT formation energy (eV/atom) = -0.49
- total energy (eV/atom) = -5.377

=====

Which value of total energy does entry 7 give?
-4.874 eV/atom